No. 1
## TbEr4Pt4 (PBE)

Data for crystalline TbEr4Pt4 at its relaxed geometry.

The total magnetization is 0.00 μB/cell. The calculation puts the electronic total energy at -6.30 eV/atom. The value obtained for the formation energy from the elements is -9.67 eV per formula unit.

The structure belongs to space group P4_2/n (No. 86, origin choice 2); the cell edges are 8.989, 8.989 and 5.680 Å and the angles 90.00°, 90.00° and 90.00°. The inequivalent atoms are Tb at (0.250, 0.250, 0.250), Er at (0.078, 0.653, 0.166) and Pt at (0.036, 0.626, 0.666).

No. 2
## Ce2SmIr2 (PBE)

Data for crystalline Ce2SmIr2 at its relaxed geometry.

The total magnetization is 0.00 μB/cell. The calculation puts the electronic total energy at -7.11 eV/atom. The value obtained for the formation energy from the elements is -1.25 eV per formula unit.

The structure belongs to space group Cmmm (No. 65); the cell edges are 5.315, 7.356 and 5.863 Å and the angles 90.00°, 90.00° and 90.00°. The inequivalent atoms are Ce at (0.000, 0.192, 0.000), Sm at (0.000, 0.000, 0.500) and Ir at (0.000, 0.500, 0.260).

No. 3
## Nb3SnP (PBE)

Data for crystalline Nb3SnP at its relaxed geometry.

For the energy above the most stable polymorph in this dataset, the calculation gives 2132 meV/atom. The total magnetization is 1.87 μB/cell. The calculation puts the electronic total energy at -6.00 eV/atom. The value obtained for the formation energy from the elements is 9.61 eV per formula unit.

The structure belongs to space group Pm-3m (No. 221); the cell edges are 5.044, 5.044 and 5.044 Å and the angles 90.00°, 90.00° and 90.00°. The inequivalent atoms are Nb at (0.000, 0.000, 0.500), Sn at (0.000, 0.000, 0.000) and P at (0.500, 0.500, 0.500).

No. 4
## Cs2ZrBiF6 (PBE)

Data for crystalline Cs2ZrBiF6 at its relaxed geometry.

The total magnetization is 2.00 μB/cell. The calculation puts the electronic total energy at -5.25 eV/atom. For the uncorrected formation energy, the calculation gives -2.712 eV per atom.

The structure belongs to space group I4/mmm (No. 139); the cell edges are 7.813, 7.813 and 8.989 Å and the angles 90.00°, 90.00° and 90.00°. The inequivalent atoms are Cs at (0.000, 0.500, 0.250), Zr at (0.000, 0.000, 0.000), Bi at (0.000, 0.000, 0.500), F at (0.000, 0.000, 0.230) and F at (0.184, 0.184, 0.000).

No. 5
## CsCrInCl4 (PBE)

Data for crystalline CsCrInCl4 at its relaxed geometry.

The total magnetization is 8.00 μB/cell. The calculation puts the electronic total energy at -4.15 eV/atom. For the uncorrected formation energy, the calculation gives -1.204 eV per atom.

The structure belongs to space group P2_1/m (No. 11); the cell edges are 6.126, 7.830 and 9.657 Å and the angles 90.00°, 96.47° and 90.00°. The inequivalent atoms are Cs at (0.237, 0.250, 0.091), Cr at (0.415, 0.250, 0.689), In at (0.238, 0.750, 0.505), Cl at (0.214, 0.250, 0.463), Cl at (0.290, 0.527, 0.741) and Cl at (0.313, 0.750, 0.122).

No. 6
## CePr3Th2Se6 (PBE)

Data for crystalline CePr3Th2Se6 at its relaxed geometry.

The total magnetization is 2.01 μB/cell. The calculation puts the electronic total energy at -6.40 eV/atom. For the uncorrected formation energy, the calculation gives -1.732 eV per atom.

The structure belongs to space group C2/m (No. 12); the cell edges are 7.312, 12.636 and 7.378 Å and the angles 90.00°, 109.24° and 90.00°. The inequivalent atoms are Ce at (0.000, 0.000, 0.000), Pr at (0.000, 0.167, 0.500), Pr at (0.000, 0.500, 0.500), Th at (0.000, 0.334, 0.000), Se at (0.248, 0.166, 0.246) and Se at (0.250, 0.000, 0.753).

No. 7
## La3Sn2Pt7 (PBE)

Data for crystalline La3Sn2Pt7 at its relaxed geometry.

The total magnetization is 0.00 μB/cell. The calculation puts the electronic total energy at -6.21 eV/atom. The value obtained for the formation energy from the elements is -9.51 eV per formula unit.

The structure belongs to space group P2/m (No. 10); the cell edges are 4.280, 4.100 and 15.742 Å and the angles 90.00°, 94.89° and 90.00°. The inequivalent atoms are La at (0.000, 0.000, 0.000), La at (0.149, 0.000, 0.409), Sn at (0.465, 0.500, 0.832), Pt at (0.071, 0.500, 0.271), Pt at (0.360, 0.500, 0.581), Pt at (0.413, 0.000, 0.724) and Pt at (0.500, 0.500, 0.000).

No. 8
## Y2TlHg (PBE)

Data for crystalline Y2TlHg at its relaxed geometry.

The total magnetization is 0.00 μB/cell. The calculation puts the electronic total energy at -4.24 eV/atom. The value obtained for the formation energy from the elements is -1.35 eV per formula unit.

The structure belongs to space group C2/m (No. 12); the cell edges are 9.712, 3.775 and 6.443 Å and the angles 90.00°, 103.23° and 90.00°. The inequivalent atoms are Y at (0.248, 0.000, 0.243), Tl at (0.000, 0.000, 0.500) and Hg at (0.000, 0.500, 0.000).